A relaxed structure of BC2, computed with PBE.

Cell: 2.591 2.591 13.151 Å, 90.00 90.00 120.00°
Element x y z (fractional)
1 B 0.000 0.000 0.000
2 B 0.000 0.000 0.386
3 B 0.333 0.667 0.172
4 B 0.333 0.667 0.673
5 C 0.000 0.000 0.512
6 C 0.000 0.000 0.876
7 C 0.333 0.667 0.053
8 C 0.333 0.667 0.546
9 C 0.667 0.333 0.228
10 C 0.667 0.333 0.336
11 C 0.667 0.333 0.720
12 C 0.667 0.333 0.837

Summary:
- DOS(E_F) (states/eV per cell) = 4.81
- calculated total energy (Ry per atom) = -0.59066
- formation energy from the elements (eV per formula unit) = 1.0
- total magnetic moment (μB per formula unit) = 0.000